Entry 1:
This record from the Open Quantum Materials Database describes crystalline TlFeTe3Au at its relaxed geometry. The functional is PBE.

## Properties
* total energy: -3.92 eV per atom
* symmetry: Cmcm, No. 63

CIF file:
```
data_TlFeTe3Au
_chemical_formula_sum 'Tl2 Fe2 Te6 Au2'
_space_group_name_H-M_alt 'P 1'
_space_group_IT_number 1
_cell_length_a 11.202
_cell_length_b 7.787
_cell_length_c 7.787
_cell_angle_alpha 28.57
_cell_angle_beta 90.00
_cell_angle_gamma 90.00
loop_
_space_group_symop_operation_xyz
'x,y,z'
loop_
_atom_site_label
_atom_site_type_symbol
_atom_site_fract_x
_atom_site_fract_y
_atom_site_fract_z
_atom_site_occupancy
Au1 Au 0.500 0.379 0.379 1
Au2 Au 0.000 0.621 0.621 1
Fe1 Fe 0.250 0.000 0.000 1
Fe2 Fe 0.750 0.000 0.000 1
Te1 Te 0.500 0.030 0.030 1
Te2 Te 0.259 0.381 0.381 1
Te3 Te 0.741 0.381 0.381 1
Te4 Te 0.241 0.619 0.619 1
Te5 Te 0.759 0.619 0.619 1
Te6 Te 0.000 0.970 0.970 1
Tl1 Tl 0.000 0.272 0.272 1
Tl2 Tl 0.500 0.728 0.728 1
```

---

Entry 2:
This record from the Open Quantum Materials Database describes crystalline TlFeAu2 at its relaxed geometry. The functional is PBE.

## Properties
* total energy: -3.98 eV per atom
* symmetry: F-43m, No. 216

CIF file:
```
data_TlFeAu2
_chemical_formula_sum 'Tl1 Fe1 Au2'
_space_group_name_H-M_alt 'P 1'
_space_group_IT_number 1
_cell_length_a 4.718
_cell_length_b 4.718
_cell_length_c 4.718
_cell_angle_alpha 60.00
_cell_angle_beta 60.00
_cell_angle_gamma 60.00
loop_
_space_group_symop_operation_xyz
'x,y,z'
loop_
_atom_site_label
_atom_site_type_symbol
_atom_site_fract_x
_atom_site_fract_y
_atom_site_fract_z
_atom_site_occupancy
Au1 Au 0.000 0.000 0.000 1
Au2 Au 0.750 0.750 0.750 1
Fe1 Fe 0.250 0.250 0.250 1
Tl1 Tl 0.500 0.500 0.500 1
```

---

Entry 3:
This record from the Open Quantum Materials Database describes crystalline ZrTlFeAu at its relaxed geometry. The functional is PBE.

## Properties
* symmetry: F-43m, No. 216
* E above lowest polymorph: 0.0390 eV per atom

CIF file:
```
data_ZrTlFeAu
_chemical_formula_sum 'Zr1 Tl1 Fe1 Au1'
_space_group_name_H-M_alt 'P 1'
_space_group_IT_number 1
_cell_length_a 4.698
_cell_length_b 4.698
_cell_length_c 4.698
_cell_angle_alpha 60.00
_cell_angle_beta 60.00
_cell_angle_gamma 60.00
loop_
_space_group_symop_operation_xyz
'x,y,z'
loop_
_atom_site_label
_atom_site_type_symbol
_atom_site_fract_x
_atom_site_fract_y
_atom_site_fract_z
_atom_site_occupancy
Au1 Au 0.500 0.500 0.500 1
Fe1 Fe 0.750 0.750 0.750 1
Tl1 Tl 0.000 0.000 0.000 1
Zr1 Zr 0.250 0.250 0.250 1
```

---

Entry 4:
This record from the Open Quantum Materials Database describes crystalline ZrTlFeAu at its relaxed geometry. The functional is PBE.

## Properties
* symmetry: F-43m, No. 216
* E above lowest polymorph: 0.0000 eV per atom

CIF file:
```
data_ZrTlFeAu
_chemical_formula_sum 'Zr1 Tl1 Fe1 Au1'
_space_group_name_H-M_alt 'P 1'
_space_group_IT_number 1
_cell_length_a 4.738
_cell_length_b 4.738
_cell_length_c 4.738
_cell_angle_alpha 60.00
_cell_angle_beta 60.00
_cell_angle_gamma 60.00
loop_
_space_group_symop_operation_xyz
'x,y,z'
loop_
_atom_site_label
_atom_site_type_symbol
_atom_site_fract_x
_atom_site_fract_y
_atom_site_fract_z
_atom_site_occupancy
Au1 Au 0.250 0.250 0.250 1
Fe1 Fe 0.750 0.750 0.750 1
Tl1 Tl 0.000 0.000 0.000 1
Zr1 Zr 0.500 0.500 0.500 1
```

---

Entry 5:
This record from the Open Quantum Materials Database describes crystalline UFeAu at its relaxed geometry. The functional is PBE.

## Properties
* energy of formation: 0.704 eV/atom
* symmetry: F-43m, No. 216

CIF file:
```
data_UFeAu
_chemical_formula_sum 'U1 Fe1 Au1'
_space_group_name_H-M_alt 'P 1'
_space_group_IT_number 1
_cell_length_a 4.499
_cell_length_b 4.499
_cell_length_c 4.499
_cell_angle_alpha 60.00
_cell_angle_beta 60.00
_cell_angle_gamma 60.00
loop_
_space_group_symop_operation_xyz
'x,y,z'
loop_
_atom_site_label
_atom_site_type_symbol
_atom_site_fract_x
_atom_site_fract_y
_atom_site_fract_z
_atom_site_occupancy
Au1 Au 0.000 0.000 0.000 1
Fe1 Fe 0.500 0.500 0.500 1
U1 U 0.250 0.250 0.250 1
```

---

Entry 6:
This record from the Open Quantum Materials Database describes crystalline UFeAu at its relaxed geometry. The functional is PBE.

## Properties
* energy of formation: 0.336 eV/atom
* symmetry: F-43m, No. 216

CIF file:
```
data_UFeAu
_chemical_formula_sum 'U1 Fe1 Au1'
_space_group_name_H-M_alt 'P 1'
_space_group_IT_number 1
_cell_length_a 4.397
_cell_length_b 4.397
_cell_length_c 4.397
_cell_angle_alpha 60.00
_cell_angle_beta 60.00
_cell_angle_gamma 60.00
loop_
_space_group_symop_operation_xyz
'x,y,z'
loop_
_atom_site_label
_atom_site_type_symbol
_atom_site_fract_x
_atom_site_fract_y
_atom_site_fract_z
_atom_site_occupancy
Au1 Au 0.000 0.000 0.000 1
Fe1 Fe 0.250 0.250 0.250 1
U1 U 0.500 0.500 0.500 1
```

---

Entry 7:
This record from the Open Quantum Materials Database describes crystalline YZnFeAu at its relaxed geometry. The functional is PBE.

## Properties
* energy of formation: -0.105 eV/atom
* symmetry: F-43m, No. 216
* E above lowest polymorph: 0.0322 eV per atom

CIF file:
```
data_YZnFeAu
_chemical_formula_sum 'Y1 Zn1 Fe1 Au1'
_space_group_name_H-M_alt 'P 1'
_space_group_IT_number 1
_cell_length_a 4.703
_cell_length_b 4.703
_cell_length_c 4.703
_cell_angle_alpha 60.00
_cell_angle_beta 60.00
_cell_angle_gamma 60.00
loop_
_space_group_symop_operation_xyz
'x,y,z'
loop_
_atom_site_label
_atom_site_type_symbol
_atom_site_fract_x
_atom_site_fract_y
_atom_site_fract_z
_atom_site_occupancy
Au1 Au 0.250 0.250 0.250 1
Fe1 Fe 0.750 0.750 0.750 1
Y1 Y 0.500 0.500 0.500 1
Zn1 Zn 0.000 0.000 0.000 1
```

---

Entry 8:
This record from the Open Quantum Materials Database describes crystalline YZnFeAu at its relaxed geometry. The functional is PBE.

## Properties
* energy of formation: -0.138 eV/atom
* symmetry: F-43m, No. 216
* E above lowest polymorph: 0.0000 eV per atom

CIF file:
```
data_YZnFeAu
_chemical_formula_sum 'Y1 Zn1 Fe1 Au1'
_space_group_name_H-M_alt 'P 1'
_space_group_IT_number 1
_cell_length_a 4.742
_cell_length_b 4.742
_cell_length_c 4.742
_cell_angle_alpha 60.00
_cell_angle_beta 60.00
_cell_angle_gamma 60.00
loop_
_space_group_symop_operation_xyz
'x,y,z'
loop_
_atom_site_label
_atom_site_type_symbol
_atom_site_fract_x
_atom_site_fract_y
_atom_site_fract_z
_atom_site_occupancy
Au1 Au 0.500 0.500 0.500 1
Fe1 Fe 0.750 0.750 0.750 1
Y1 Y 0.250 0.250 0.250 1
Zn1 Zn 0.000 0.000 0.000 1
```